Entry 1:
Computed, not measured: crystalline Ca2TiReO6 at its relaxed geometry at the PBE-GGA level of DFT.

Properties
* raw formation energy: -2.52 eV/atom
* space group: P4mm

Cell lengths 3.893, 5.573, 5.573 Å; angles 90.00, 90.00, 90.00 degrees
Fractional positions:
Ca  0.097  0.500  0.000
Ca  0.097  0.000  0.500
Ti  0.641  0.000  0.000
Re  0.655  0.500  0.500
O  0.662  0.248  0.248
O  0.662  0.248  0.752
O  0.156  0.500  0.500
O  0.152  0.000  0.000
O  0.662  0.752  0.752
O  0.662  0.752  0.248


Entry 2:
Computed, not measured: crystalline Ca2TiReO8 at its relaxed geometry at the PBE-GGA level of DFT.

Properties
* raw formation energy: -2.21 eV/atom
* space group: P2/m

Cell lengths 5.091, 5.083, 6.282 Å; angles 90.00, 90.00, 92.35 degrees
Fractional positions:
Ca  0.500  0.500  0.746
Ca  0.500  0.500  0.254
Ti  0.000  0.000  0.500
Re  0.000  0.000  0.000
O  0.172  0.826  0.230
O  0.735  0.737  0.000
O  0.828  0.174  0.230
O  0.828  0.174  0.770
O  0.265  0.263  0.000
O  0.172  0.826  0.770
O  0.735  0.738  0.500
O  0.265  0.262  0.500


Entry 3:
Computed, not measured: crystalline CaTiReO6 at its relaxed geometry at the PBE-GGA level of DFT.

Properties
* raw formation energy: -2.40 eV/atom
* space group: P-31c

Cell lengths 5.182, 5.182, 10.101 Å; angles 90.00, 90.00, 120.00 degrees
Fractional positions:
Ca  0.000  0.000  0.000
Ca  0.000  0.000  0.500
Ti  0.667  0.333  0.250
Ti  0.333  0.667  0.750
Re  0.333  0.667  0.250
Re  0.667  0.333  0.750
O  0.629  0.635  0.145
O  0.006  0.371  0.145
O  0.371  0.006  0.645
O  0.994  0.629  0.855
O  0.365  0.371  0.355
O  0.006  0.635  0.355
O  0.635  0.006  0.855
O  0.629  0.994  0.355
O  0.994  0.365  0.645
O  0.365  0.994  0.145
O  0.635  0.629  0.645
O  0.371  0.365  0.855